The following is a GGA-PBE calculation of a relaxed structure of La4TmPb5, from the Alexandria database.

Cell and atoms, written as POSCAR:
```
La4TmPb5
1.0
3.653 0.000 0.000
0.000 3.653 0.000
0.000 0.000 23.042
La Tm Pb
4 1 5
Cartesian
0.000 0.000 2.359 La
0.000 0.000 7.023 La
0.000 0.000 16.019 La
0.000 0.000 20.683 La
0.000 0.000 11.521 Tm
1.826 1.826 0.000 Pb
1.826 1.826 4.693 Pb
1.826 1.826 9.406 Pb
1.826 1.826 13.636 Pb
1.826 1.826 18.349 Pb
```

Output
- calculated total energy (eV per atom) = -4.81
- N(E_F) (states/eV/cell) = 9.5
- total magnetization (μB per atom) = 0.000
- formation energy from the elements (eV per atom) = -0.540
- space group = P4/mmm, No. 123